Record 1
BaSi2TcW | PBE-GGA | relaxed

```
BaSi2TcW
1.0
4.723 0.000 0.000
0.000 4.723 0.000
0.000 0.000 5.087
Ba Si Tc W
1 2 1 1
Direct
0.000 0.000 0.000
0.000 0.500 0.500
0.500 0.000 0.500
0.500 0.500 0.500
0.500 0.500 0.000
```

Summary:
Magnetic moment   1.97 μB/f.u.
Energy relative to the elements, uncorrected   0.597 eV/atom

=====

Record 2
Ba2YSiTc | PBE-GGA | relaxed

```
Ba2YSiTc
1.0
5.938 0.000 0.000
0.000 5.938 0.000
0.000 0.000 4.789
Ba Y Si Tc
2 1 1 1
Direct
0.000 0.500 0.000
0.500 0.000 0.000
0.000 0.000 0.500
0.500 0.500 0.500
0.500 0.500 0.000
```

Summary:
Magnetic moment   0.32 μB/f.u.
Energy relative to the elements, uncorrected   0.542 eV/atom